--- P ---
The following is a DFT calculation (PBE) of an optimized crystal structure of Sc3CdSn.

Computed properties:
- total magnetization (μB per atom) = 0.0000

abc: 5.220 5.220 5.220
angles: 90.00 90.00 90.00
Fractional positions:
1 Sc 0.000 0.500 0.000
2 Sc 0.000 0.000 0.500
3 Sc 0.500 0.000 0.000
4 Sn 0.500 0.500 0.500
5 Cd 0.000 0.000 0.000



--- Q ---
The following is a DFT calculation (PBE) of an optimized crystal structure of Sc3CdSn.

Computed properties:
- total magnetization (μB per atom) = 0.2263

abc: 5.353 5.353 5.353
angles: 90.00 90.00 90.00
Site moments in Bohr magnetons follow the coordinates.
Fractional positions:
1 Sc 0.000 0.500 0.000  0.20
2 Sc 0.000 0.000 0.500  0.19
3 Sc 0.500 0.000 0.000  0.20
4 Sn 0.000 0.000 0.000  0.00
5 Cd 0.500 0.500 0.500  0.02



Most stable structure - P; separation to the second - 11 meV per atom.